1.
This record from Alexandria via LeMat-Bulk describes an optimized crystal structure of Ba3As5O12. The functional is PBE-GGA.

Calculated values
Final energy ... -478.833 eV for the cell shown
Crystal system ... cubic
Raw formation energy ... -1.5597 eV per atom
Space group ... No. 230

Cell lengths 11.867, 11.867, 11.867 Å; angles 109.47, 109.47, 109.47 degrees
Fractional positions:
Ba 0.125 0.250 0.375
Ba 0.125 0.375 0.750
Ba 0.250 0.375 0.125
Ba 0.250 0.875 0.625
Ba 0.375 0.125 0.250
Ba 0.375 0.750 0.125
Ba 0.625 0.250 0.875
Ba 0.625 0.875 0.750
Ba 0.750 0.125 0.375
Ba 0.750 0.625 0.875
Ba 0.875 0.625 0.250
Ba 0.875 0.750 0.625
As 0.000 0.000 0.000
As 0.000 0.000 0.500
As 0.000 0.500 0.000
As 0.000 0.500 0.500
As 0.125 0.750 0.875
As 0.125 0.875 0.250
As 0.250 0.125 0.875
As 0.250 0.625 0.375
As 0.375 0.250 0.625
As 0.375 0.625 0.750
As 0.500 0.000 0.000
As 0.500 0.000 0.500
As 0.500 0.500 0.000
As 0.500 0.500 0.500
As 0.625 0.375 0.250
As 0.625 0.750 0.375
As 0.750 0.375 0.625
As 0.750 0.875 0.125
As 0.875 0.125 0.750
As 0.875 0.250 0.125
O 0.001 0.696 0.112
O 0.001 0.805 0.889
O 0.084 0.695 0.696
O 0.084 0.889 0.388
O 0.111 0.612 0.916
O 0.111 0.999 0.195
O 0.112 0.001 0.696
O 0.112 0.611 0.416
O 0.195 0.111 0.999
O 0.195 0.584 0.196
O 0.196 0.195 0.584
O 0.196 0.501 0.612
O 0.304 0.888 0.999
O 0.304 0.916 0.305
O 0.305 0.304 0.916
O 0.305 0.501 0.389
O 0.388 0.084 0.889
O 0.388 0.804 0.499
O 0.389 0.305 0.501
O 0.389 0.584 0.888
O 0.416 0.112 0.611
O 0.416 0.804 0.805
O 0.499 0.388 0.804
O 0.499 0.611 0.695
O 0.501 0.389 0.305
O 0.501 0.612 0.196
O 0.584 0.196 0.195
O 0.584 0.888 0.389
O 0.611 0.416 0.112
O 0.611 0.695 0.499
O 0.612 0.196 0.501
O 0.612 0.916 0.111
O 0.695 0.499 0.611
O 0.695 0.696 0.084
O 0.696 0.084 0.695
O 0.696 0.112 0.001
O 0.804 0.499 0.388
O 0.804 0.805 0.416
O 0.805 0.416 0.804
O 0.805 0.889 0.001
O 0.888 0.389 0.584
O 0.888 0.999 0.304
O 0.889 0.001 0.805
O 0.889 0.388 0.084
O 0.916 0.111 0.612
O 0.916 0.305 0.304
O 0.999 0.195 0.111
O 0.999 0.304 0.888

2.
This record from Alexandria via LeMat-Bulk describes an optimized crystal structure of Ba4As2O. The functional is PBE-GGA.

Calculated values
Final energy ... -28.805 eV for the cell shown
Crystal system ... tetragonal
Distance to the lowest polymorph of the same formula ... 3.58 eV/f.u.
Raw formation energy ... -0.9796 eV per atom
Space group ... No. 139

Cell lengths 10.182, 10.182, 10.182 Å; angles 150.75, 150.75, 41.84 degrees
Fractional positions:
Ba 0.000 0.500 0.500
Ba 0.183 0.183 0.000
Ba 0.500 0.000 0.500
Ba 0.817 0.817 0.000
As 0.354 0.354 0.000
As 0.646 0.646 0.000
O 0.500 0.500 0.000

3.
This record from Alexandria via LeMat-Bulk describes an optimized crystal structure of BaAs3O9. The functional is PBE-GGA.

Calculated values
Final energy ... -156.136 eV for the cell shown
Crystal system ... orthorhombic
Raw formation energy ... -1.3517 eV per atom
Space group ... No. 20

Cell lengths 7.813, 7.813, 8.156 Å; angles 90.00, 90.00, 100.96 degrees
Fractional positions:
Ba 0.108 0.108 0.000
Ba 0.892 0.892 0.500
As 0.243 0.243 0.500
As 0.335 0.653 0.949
As 0.347 0.665 0.551
As 0.653 0.335 0.051
As 0.665 0.347 0.449
As 0.757 0.757 0.000
O 0.134 0.172 0.670
O 0.172 0.134 0.330
O 0.195 0.788 0.954
O 0.212 0.805 0.546
O 0.239 0.469 0.458
O 0.270 0.456 0.042
O 0.403 0.597 0.750
O 0.456 0.270 0.958
O 0.469 0.239 0.542
O 0.531 0.761 0.042
O 0.544 0.730 0.458
O 0.597 0.403 0.250
O 0.730 0.544 0.542
O 0.761 0.531 0.958
O 0.788 0.195 0.046
O 0.805 0.212 0.454
O 0.828 0.866 0.830
O 0.866 0.828 0.170

4.
This record from Alexandria via LeMat-Bulk describes an optimized crystal structure of BaAsO3. The functional is PBE-GGA.

Calculated values
Final energy ... -59.957 eV for the cell shown
Crystal system ... hexagonal
Raw formation energy ... -1.7063 eV per atom
Space group ... No. 176

Cell lengths 5.996, 5.996, 5.161 Å; angles 90.00, 90.00, 120.00 degrees
Fractional positions:
Ba 0.333 0.667 0.250
Ba 0.667 0.333 0.750
As 0.000 0.000 0.250
As 0.000 0.000 0.750
O 0.166 0.828 0.750
O 0.172 0.339 0.750
O 0.339 0.166 0.250
O 0.661 0.834 0.750
O 0.828 0.661 0.250
O 0.834 0.172 0.250

5.
This record from Alexandria via LeMat-Bulk describes an optimized crystal structure of Ba5As2O2. The functional is PBE-GGA.

Calculated values
Final energy ... -88.294 eV for the cell shown
Crystal system ... monoclinic
Distance to the lowest polymorph of the same formula ... 0.06 eV/f.u.
Raw formation energy ... -1.7020 eV per atom
Space group ... No. 12

Cell lengths 11.920, 11.920, 7.502 Å; angles 108.06, 108.06, 127.48 degrees
Fractional positions:
Ba 0.170 0.170 0.343
Ba 0.176 0.392 0.003
Ba 0.236 0.764 0.000
Ba 0.249 0.751 0.500
Ba 0.392 0.176 0.003
Ba 0.608 0.824 0.997
Ba 0.751 0.249 0.500
Ba 0.764 0.236 0.000
Ba 0.824 0.608 0.997
Ba 0.830 0.830 0.657
As 0.128 0.415 0.541
As 0.415 0.128 0.541
As 0.585 0.872 0.459
As 0.872 0.585 0.459
O 0.000 0.500 0.000
O 0.174 0.174 0.001
O 0.500 0.000 0.000
O 0.826 0.826 0.999

6.
This record from Alexandria via LeMat-Bulk describes an optimized crystal structure of Ba8As3O4. The functional is PBE-GGA.

Calculated values
Final energy ... -72.085 eV for the cell shown
Crystal system ... monoclinic
Raw formation energy ... -1.5281 eV per atom
Space group ... No. 12

Cell lengths 8.727, 8.727, 8.634 Å; angles 118.80, 118.80, 90.35 degrees
Fractional positions:
Ba 0.199 0.199 0.444
Ba 0.227 0.227 0.991
Ba 0.232 0.768 0.000
Ba 0.238 0.762 0.500
Ba 0.762 0.238 0.500
Ba 0.768 0.232 0.000
Ba 0.773 0.773 0.009
Ba 0.801 0.801 0.556
As 0.000 0.500 0.500
As 0.500 0.000 0.500
As 0.500 0.500 0.500
O 0.000 0.000 0.000
O 0.000 0.000 0.500
O 0.000 0.500 0.000
O 0.500 0.000 0.000

7.
This record from Alexandria via LeMat-Bulk describes an optimized crystal structure of Ba12As3O5. The functional is PBE-GGA.

Calculated values
Final energy ... -371.639 eV for the cell shown
Crystal system ... cubic
Raw formation energy ... -1.5549 eV per atom
Space group ... No. 230

Cell lengths 15.207, 15.207, 15.207 Å; angles 109.47, 109.47, 109.47 degrees
Fractional positions:
Ba 0.020 0.203 0.119
Ba 0.020 0.317 0.901
Ba 0.084 0.703 0.683
Ba 0.084 0.881 0.401
Ba 0.099 0.619 0.416
Ba 0.099 0.980 0.683
Ba 0.119 0.020 0.203
Ba 0.119 0.599 0.916
Ba 0.183 0.203 0.584
Ba 0.183 0.480 0.599
Ba 0.203 0.119 0.020
Ba 0.203 0.584 0.183
Ba 0.297 0.317 0.916
Ba 0.297 0.480 0.381
Ba 0.317 0.901 0.020
Ba 0.317 0.916 0.297
Ba 0.381 0.297 0.480
Ba 0.381 0.584 0.901
Ba 0.401 0.084 0.881
Ba 0.401 0.817 0.520
Ba 0.416 0.099 0.619
Ba 0.416 0.817 0.797
Ba 0.480 0.381 0.297
Ba 0.480 0.599 0.183
Ba 0.520 0.401 0.817
Ba 0.520 0.619 0.703
Ba 0.584 0.183 0.203
Ba 0.584 0.901 0.381
Ba 0.599 0.183 0.480
Ba 0.599 0.916 0.119
Ba 0.619 0.416 0.099
Ba 0.619 0.703 0.520
Ba 0.683 0.084 0.703
Ba 0.683 0.099 0.980
Ba 0.703 0.520 0.619
Ba 0.703 0.683 0.084
Ba 0.797 0.416 0.817
Ba 0.797 0.881 0.980
Ba 0.817 0.520 0.401
Ba 0.817 0.797 0.416
Ba 0.881 0.401 0.084
Ba 0.881 0.980 0.797
Ba 0.901 0.020 0.317
Ba 0.901 0.381 0.584
Ba 0.916 0.119 0.599
Ba 0.916 0.297 0.317
Ba 0.980 0.683 0.099
Ba 0.980 0.797 0.881
As 0.125 0.250 0.375
As 0.125 0.375 0.750
As 0.250 0.375 0.125
As 0.250 0.875 0.625
As 0.375 0.125 0.250
As 0.375 0.750 0.125
As 0.625 0.250 0.875
As 0.625 0.875 0.750
As 0.750 0.125 0.375
As 0.750 0.625 0.875
As 0.875 0.625 0.250
As 0.875 0.750 0.625
O 0.000 0.000 0.000
O 0.000 0.000 0.500
O 0.000 0.500 0.000
O 0.000 0.500 0.500
O 0.125 0.750 0.875
O 0.125 0.875 0.250
O 0.250 0.125 0.875
O 0.250 0.625 0.375
O 0.375 0.250 0.625
O 0.375 0.625 0.750
O 0.500 0.000 0.000
O 0.500 0.000 0.500
O 0.500 0.500 0.000
O 0.500 0.500 0.500
O 0.625 0.375 0.250
O 0.625 0.750 0.375
O 0.750 0.375 0.625
O 0.750 0.875 0.125
O 0.875 0.125 0.750
O 0.875 0.250 0.125

8.
This record from Alexandria via LeMat-Bulk describes an optimized crystal structure of Ba2As6O11. The functional is PBE-GGA.

Calculated values
Final energy ... -235.761 eV for the cell shown
Crystal system ... triclinic
Distance to the lowest polymorph of the same formula ... 0.00 eV/f.u.
Raw formation energy ... -1.6630 eV per atom
Space group ... No. 2

Cell lengths 8.527, 9.360, 9.478 Å; angles 73.97, 72.75, 76.03 degrees
Fractional positions:
Ba 0.029 0.441 0.275
Ba 0.461 0.583 0.231
Ba 0.539 0.417 0.769
Ba 0.971 0.559 0.725
As 0.098 0.892 0.311
As 0.186 0.181 0.928
As 0.202 0.731 0.942
As 0.295 0.261 0.563
As 0.304 0.824 0.573
As 0.407 0.092 0.185
As 0.593 0.908 0.815
As 0.696 0.176 0.427
As 0.705 0.739 0.437
As 0.798 0.269 0.058
As 0.814 0.819 0.072
As 0.902 0.108 0.689
O 0.015 0.316 0.014
O 0.105 0.737 0.242
O 0.153 0.783 0.497
O 0.209 0.436 0.474
O 0.255 0.318 0.754
O 0.255 0.682 0.747
O 0.269 0.189 0.314
O 0.306 0.560 0.022
O 0.316 0.921 0.212
O 0.345 0.206 0.006
O 0.485 0.695 0.490
O 0.515 0.305 0.510
O 0.655 0.794 0.994
O 0.684 0.079 0.788
O 0.694 0.440 0.978
O 0.731 0.811 0.686
O 0.745 0.318 0.253
O 0.745 0.682 0.246
O 0.791 0.564 0.526
O 0.847 0.217 0.503
O 0.895 0.263 0.758
O 0.985 0.684 0.986